Entry 1:
DFT (PBE) results for a geometry-optimized NaCrBr2 structure. Values from VASP.

Excess energy over the best structure of this formula in the dataset in eV/atom: 0.024
E_tot in eV per atom: -4.21
Uncorrected formation energy in eV per atom: -0.6387

```
&SYSTEM
  ibrav = 0, nat = 4, ntyp = 3
/
ATOMIC_SPECIES
Cr 52.00 Cr.upf
Br 79.90 Br.upf
Na 22.99 Na.upf
CELL_PARAMETERS angstrom
0.923 5.380 6.484
4.742 3.134 6.288
4.037 6.553 3.551
ATOMIC_POSITIONS crystal
Cr 0.000 0.000 0.000
Br 0.898 0.898 0.898
Br 0.102 0.102 0.102
Na 0.500 0.500 0.500
```


Entry 2:
DFT (PBE) results for a geometry-optimized LiInPt2 structure. Values from VASP.

E_tot in eV per atom: -4.71
E_form in eV/atom: -0.525

```
&SYSTEM
  ibrav = 0, nat = 4, ntyp = 3
/
ATOMIC_SPECIES
In 114.82 In.upf
Li 6.94 Li.upf
Pt 195.08 Pt.upf
CELL_PARAMETERS angstrom
-0.474 -0.468 4.545
2.757 -1.017 0.183
1.604 4.462 0.627
ATOMIC_POSITIONS crystal
In 0.000 0.625 0.439
Li 0.500 0.625 0.828
Pt 0.000 0.125 0.929
Pt 0.500 0.125 0.305
```